1.
VASP calculation (PBE-GGA) on a geometry-optimized Y2CoW structure.

a = 3.384 Å, b = 4.844 Å, c = 10.664 Å
α = 90.00°, β = 90.00°, γ = 90.00°
Space group Imm2 (No. 44)
Asymmetric unit:
Y 0.000 0.000 0.000 x2
Y 0.000 0.500 0.213 x2
Co 0.000 0.000 0.445 x2
W 0.000 0.500 0.798 x2

The polymorph energy (0 for the lowest one) is 96 meV/atom.



2.
VASP calculation (PBE-GGA) on a geometry-optimized Y2CoW structure.

a = 3.2277 Å, b = 3.2277 Å, c = 27.1804 Å
α = 90.00°, β = 90.00°, γ = 120.00°
Space group R-3m (No. 166, hexagonal axes)
Asymmetric unit:
Y 0.0000 0.0000 0.2418 x6
Co 0.0000 0.0000 0.5000 x3
W 0.0000 0.0000 0.0000 x3

The polymorph energy (0 for the lowest one) is 470 meV/atom.



3.
VASP calculation (PBE-GGA) on a geometry-optimized Y2CoW structure.

a = 3.663 Å, b = 4.654 Å, c = 10.665 Å
α = 90.00°, β = 90.00°, γ = 90.00°
Space group Amm2 (No. 38)
Asymmetric unit:
Y 0.000 0.000 0.000 x2
Y 0.500 0.000 0.295 x2
Co 0.000 0.000 0.721 x2
W 0.500 0.000 0.596 x2

The polymorph energy (0 for the lowest one) is 13 meV/atom.



4.
VASP calculation (PBE-GGA) on a geometry-optimized YCo2W structure.

a = 3.081 Å, b = 4.100 Å, c = 5.337 Å
α = 90.00°, β = 106.60°, γ = 90.00°
Space group Pm (No. 6)
Asymmetric unit:
Y 0.000 0.000 0.000 x1
Co 0.591 0.500 0.185 x1
Co 0.739 0.000 0.487 x1
W 0.273 0.500 0.551 x1

The polymorph energy (0 for the lowest one) is 132 meV/atom.



5.
VASP calculation (PBE-GGA) on a geometry-optimized Y2CoW structure.

a = 6.950 Å, b = 6.950 Å, c = 6.950 Å
α = 90.00°, β = 90.00°, γ = 90.00°
Space group Fm-3m (No. 225)
Asymmetric unit:
Y 0.250 0.250 0.250 x8
Co 0.000 0.000 0.000 x4
W 0.000 0.000 0.500 x4

The polymorph energy (0 for the lowest one) is 383 meV/atom.



6.
VASP calculation (PBE-GGA) on a geometry-optimized YCo2W structure.

a = 4.0960 Å, b = 4.0960 Å, c = 14.5144 Å
α = 90.00°, β = 90.00°, γ = 120.00°
Space group R-3m (No. 166, hexagonal axes)
Asymmetric unit:
Y 0.0000 0.0000 0.0000 x3
Co 0.0000 0.0000 0.2032 x6
W 0.0000 0.0000 0.5000 x3

The polymorph energy (0 for the lowest one) is 0 meV/atom.



E_tot / eV per atom: -8.007 -7.633 -8.090 -8.254 -7.720 -8.386